Below is a geometry-optimized NaDySn structure, with properties calculated at the PBE level.

The space group is F-43m (No. 216) and the conventional cell measures 6.936, 6.936 and 6.936 Å, with angles of 90.00, 90.00 and 90.00 degrees. Symmetry generates all atoms from Na at (0.000, 0.000, 0.000), Dy at (0.250, 0.250, 0.750) and Sn at (0.250, 0.250, 0.250).

As for the total magnetic moment: 0.000 μB per atom.

---

Below is a geometry-optimized NaSrDy structure, with properties calculated at the PBE level.

The space group is F-43m (No. 216) and the conventional cell measures 8.031, 8.031 and 8.031 Å, with angles of 90.00, 90.00 and 90.00 degrees. Symmetry generates all atoms from Na at (0.000, 0.000, 0.000), Sr at (0.250, 0.250, 0.250) and Dy at (0.250, 0.250, 0.750).

As for the total magnetic moment: 0.008 μB per atom.

---

Below is a geometry-optimized NaSrDyTe3 structure, with properties calculated at the PBE level.

The space group is C2/m (No. 12) and the conventional cell measures 19.204, 4.440 and 9.708 Å, with angles of 90.00, 104.62 and 90.00 degrees. Symmetry generates all atoms from Na at (0.007, 0.000, 0.205), Sr at (0.135, 0.500, 0.567), Dy at (0.166, 0.500, 0.087), Te at (0.000, 0.000, 0.500), Te at (0.000, 0.500, 0.000), Te at (0.169, 0.000, 0.861) and Te at (0.181, 0.000, 0.318).

As for the total magnetic moment: 0.000 μB per atom.

---

Number 1: E_tot -3.296 eV per atom. Number 2: E_tot -1.873 eV per atom. Number 3: E_tot -4.224 eV per atom.